[1]
HgMo4Cl | PBE | relaxed

Cell lengths 7.596, 7.596, 7.596 Å; angles 90.00, 90.00, 90.00 degrees
Space group F-43m (No. 216)
Asymmetric unit:
Hg  0.000  0.000  0.000 x4
Mo  0.119  0.119  0.619 x16
Cl  0.250  0.250  0.250 x4

* size of the total moment: 0.00 μB/atom
* raw formation energy: 0.898 eV per atom
* total energy: -6.680 eV per atom


[2]
SrCo2Cu | PBE | relaxed

Cell lengths 6.420, 6.420, 6.420 Å; angles 90.00, 90.00, 90.00 degrees
Space group Fm-3m (No. 225)
Asymmetric unit:
Sr  0.000  0.000  0.000 x4
Co  0.250  0.250  0.250 x8
Cu  0.000  0.000  0.500 x4

* size of the total moment: 0.57 μB/atom
* ΔE_f: 0.8132 eV per atom
* E above lowest polymorph: 709 meV per atom
* total energy: -4.184 eV per atom


[3]
LiTc2 | PBE | relaxed

Cell lengths 5.508, 5.508, 5.508 Å; angles 90.00, 90.00, 90.00 degrees
Space group Fm-3m (No. 225)
Asymmetric unit:
Li  0.000  0.000  0.000 x4
Tc  0.250  0.250  0.250 x8

* size of the total moment: 0.00 μB/atom
* ΔE_f: 1.1477 eV per atom
* E above lowest polymorph: 1049 meV per atom
* total energy: -6.401 eV per atom


[4]
Te2S2Cl | PBE | relaxed

Cell lengths 5.388, 5.388, 9.010 Å; angles 90.00, 90.00, 90.00 degrees
Space group I4/mmm (No. 139)
Asymmetric unit:
Te  0.000  0.000  0.190 x4
S  0.000  0.500  0.250 x4
Cl  0.000  0.000  0.500 x2

* size of the total moment: 0.00 μB/atom
* raw formation energy: 0.103 eV per atom
* E above lowest polymorph: 163 meV per atom
* total energy: -3.174 eV per atom


[5]
Rb2PH4Se3O2 | PBE | relaxed

Cell lengths 10.036, 12.653, 7.693 Å; angles 90.00, 90.00, 90.00 degrees
Space group Pnnm (No. 58)
Asymmetric unit:
Rb  0.000  0.000  0.000 x2
Rb  0.000  0.000  0.500 x2
Rb  0.109  0.338  0.000 x4
P  0.114  0.493  0.500 x4
H  0.066  0.761  0.305 x8
H  0.165  0.824  0.188 x8
Se  0.150  0.320  0.500 x4
Se  0.187  0.571  0.262 x8
O  0.081  0.832  0.254 x8

* size of the total moment: 0.00 μB/atom
* total energy: -4.350 eV per atom


[6]
Fe2SiPb | PBE | relaxed

Cell lengths 3.181, 3.181, 6.409 Å; angles 90.00, 90.00, 90.00 degrees
Space group P4mm (No. 99)
Asymmetric unit:
Fe  0.000  0.000  0.000 x1
Fe  0.500  0.500  0.213 x1
Si  0.500  0.500  0.852 x1
Pb  0.000  0.000  0.494 x1

* size of the total moment: 1.09 μB/atom
* raw formation energy: 0.253 eV per atom
* E above lowest polymorph: 99 meV per atom
* total energy: -6.261 eV per atom


| no. | V (Å³ per cell) |
| --- | --- |
| 1 | 438.3 |
| 2 | 264.6 |
| 3 | 167.1 |
| 4 | 261.6 |
| 5 | 977.0 |
| 6 | 64.8 |